Below is a relaxed structure of Zn2PBr, with properties calculated at the GGA-PBEsol level.

Computed properties:
The total magnetic moment comes out at 0.0 μB/cell. The volume is 22.7 Å³ per atom. As for the formation energy without anion corrections: -8.99 kcal/mol of atoms.

Cell and atoms, written as extended XYZ:
```
4
Lattice="4.033 0.000 0.000 0.000 4.033 0.000 0.000 0.000 5.580" Properties=species:S:1:pos:R:3 pbc="T T T"
P 0.000 0.000 0.000
Zn 2.016 0.000 4.519
Zn 0.000 2.016 1.062
Br 2.016 2.016 2.790
```